[1]
# PBE Tb2Pm5Pr2, relaxed
# Calculated volume = 34.5 Å³ per atom
# Formation energy = 0.32 eV per formula unit
# Raw total energy = -4.6953 eV per atom
# Polymorph energy (0 for the lowest one) = 0.0000 eV per atom
# Total magnetic moment = 0.0 μB/f.u.
data_Tb2Pm5Pr2
_chemical_formula_sum 'Tb2 Pm5 Pr2'
_cell_length_a 3.6171
_cell_length_b 9.8757
_cell_length_c 9.6461
_cell_angle_alpha 77.50
_cell_angle_beta 112.07
_cell_angle_gamma 90.04
_space_group_name_H-M_alt 'P 1'
_space_group_IT_number 1
_space_group_name_Hall 'P 1'
loop_
_atom_site_label
_atom_site_fract_x
_atom_site_fract_y
_atom_site_fract_z
Tb1 0.6632 0.8883 0.6636
Tb2 0.3368 0.1117 0.3364
Pm1 0.8528 0.7875 0.3527
Pm2 0.1472 0.2125 0.6473
Pm3 0.6831 0.5367 0.6832
Pm4 0.3169 0.4633 0.3168
Pm5 0.0000 0.0000 0.0000
Pr1 0.4755 0.6825 0.9758
Pr2 0.5245 0.3175 0.0242



[2]
# PBE Tb4PmPr7, relaxed
# Calculated volume = 35.3 Å³ per atom
# Formation energy = 2.40 eV per formula unit
# Raw total energy = -4.5277 eV per atom
# Polymorph energy (0 for the lowest one) = 0.1839 eV per atom
# Total magnetic moment = 0.1 μB/f.u.
data_Tb4PmPr7
_chemical_formula_sum 'Tb4 Pm1 Pr7'
_cell_length_a 6.0849
_cell_length_b 9.8706
_cell_length_c 8.7155
_cell_angle_alpha 61.37
_cell_angle_beta 69.57
_cell_angle_gamma 72.05
_space_group_name_H-M_alt 'P 1'
_space_group_IT_number 1
_space_group_name_Hall 'P 1'
loop_
_atom_site_label
_atom_site_fract_x
_atom_site_fract_y
_atom_site_fract_z
Tb1 0.5711 0.3027 0.5551
Tb2 0.4289 0.6973 0.4449
Tb3 0.6704 0.6153 0.0440
Tb4 0.3296 0.3847 0.9560
Pm1 0.0000 0.0000 0.0000
Pr1 0.7877 0.8822 0.5424
Pr2 0.2123 0.1178 0.4576
Pr3 0.0852 0.5519 0.2777
Pr4 0.9148 0.4481 0.7223
Pr5 0.2117 0.7647 0.8120
Pr6 0.5000 0.0000 0.0000
Pr7 0.7883 0.2353 0.1880



[3]
# PBE Tb2Pm12Pr, relaxed
# Calculated volume = 36.3 Å³ per atom
# Formation energy = 4.54 eV per formula unit
# Raw total energy = -4.4337 eV per atom
# Total magnetic moment = 0.0 μB/f.u.
data_Tb2Pm12Pr
_chemical_formula_sum 'Tb4 Pm24 Pr2'
_cell_length_a 6.5314
_cell_length_b 6.5314
_cell_length_c 25.5470
_cell_angle_alpha 90.00
_cell_angle_beta 90.00
_cell_angle_gamma 90.00
_space_group_name_H-M_alt 'P 1'
_space_group_IT_number 1
_space_group_name_Hall 'P 1'
loop_
_atom_site_label
_atom_site_fract_x
_atom_site_fract_y
_atom_site_fract_z
Tb1 0.5000 0.0000 0.2733
Tb2 0.0000 0.5000 0.2733
Tb3 0.0000 0.5000 0.7267
Tb4 0.5000 0.0000 0.7267
Pm1 0.5000 0.5000 0.7831
Pm2 0.0000 0.0000 0.7831
Pm3 0.6832 0.8168 0.8835
Pm4 0.1832 0.6832 0.8835
Pm5 0.0000 0.0000 0.3384
Pm6 0.3168 0.8168 0.1165
Pm7 0.8323 0.3323 0.5619
Pm8 0.5000 0.5000 0.3384
Pm9 0.3168 0.1832 0.8835
Pm10 0.8168 0.6832 0.1165
Pm11 0.3323 0.1677 0.5619
Pm12 0.6677 0.1677 0.4381
Pm13 0.0000 0.0000 0.6616
Pm14 0.1677 0.3323 0.4381
Pm15 0.1832 0.3168 0.1165
Pm16 0.8323 0.6677 0.4381
Pm17 0.6677 0.8323 0.5619
Pm18 0.0000 0.0000 0.2169
Pm19 0.1677 0.6677 0.5619
Pm20 0.5000 0.5000 0.6616
Pm21 0.8168 0.3168 0.8835
Pm22 0.5000 0.5000 0.2169
Pm23 0.3323 0.8323 0.4381
Pm24 0.6832 0.1832 0.1165
Pr1 0.5000 0.0000 0.0000
Pr2 0.0000 0.5000 0.0000



[4]
# PBE Tb5PmPr5, relaxed
# Calculated volume = 35.7 Å³ per atom
# Formation energy = 3.03 eV per formula unit
# Raw total energy = -4.4340 eV per atom
# Polymorph energy (0 for the lowest one) = 0.0310 eV per atom
# Total magnetic moment = 0.0 μB/f.u.
data_Tb5PmPr5
_chemical_formula_sum 'Tb5 Pm1 Pr5'
_cell_length_a 6.1979
_cell_length_b 6.1979
_cell_length_c 11.8029
_cell_angle_alpha 90.00
_cell_angle_beta 90.00
_cell_angle_gamma 120.00
_space_group_name_H-M_alt 'P 1'
_space_group_IT_number 1
_space_group_name_Hall 'P 1'
loop_
_atom_site_label
_atom_site_fract_x
_atom_site_fract_y
_atom_site_fract_z
Tb1 0.3339 0.1670 0.5000
Tb2 0.0000 0.0000 0.2660
Tb3 0.8330 0.6661 0.5000
Tb4 0.8330 0.1670 0.5000
Tb5 0.0000 0.0000 0.7340
Pm1 0.3333 0.6667 0.0000
Pr1 0.6667 0.3333 0.1559
Pr2 0.6667 0.3333 0.8441
Pr3 0.3333 0.6667 0.3197
Pr4 0.3333 0.6667 0.6803
Pr5 0.0000 0.0000 0.0000



[5]
# PBE TbPm12Pr6, relaxed
# Calculated volume = 37.3 Å³ per atom
# Formation energy = 7.94 eV per formula unit
# Raw total energy = -4.3355 eV per atom
# Total magnetic moment = 0.0 μB/f.u.
data_TbPm12Pr6
_chemical_formula_sum 'Tb1 Pm12 Pr6'
_cell_length_a 9.0668
_cell_length_b 9.0668
_cell_length_c 9.0668
_cell_angle_alpha 99.85
_cell_angle_beta 99.85
_cell_angle_gamma 99.85
_space_group_name_H-M_alt 'P 1'
_space_group_IT_number 1
_space_group_name_Hall 'P 1'
loop_
_atom_site_label
_atom_site_fract_x
_atom_site_fract_y
_atom_site_fract_z
Tb1 0.0000 0.0000 0.0000
Pm1 0.8849 0.1151 0.5000
Pm2 0.8210 0.5391 0.5391
Pm3 0.5391 0.5391 0.8210
Pm4 0.4609 0.1790 0.4609
Pm5 0.4609 0.4609 0.1790
Pm6 0.1790 0.4609 0.4609
Pm7 0.1151 0.5000 0.8849
Pm8 0.5000 0.8849 0.1151
Pm9 0.1151 0.8849 0.5000
Pm10 0.8849 0.5000 0.1151
Pm11 0.5000 0.1151 0.8849
Pm12 0.5391 0.8210 0.5391
Pr1 0.7541 0.2110 0.2110
Pr2 0.2110 0.2110 0.7541
Pr3 0.2110 0.7541 0.2110
Pr4 0.7890 0.7890 0.2459
Pr5 0.2459 0.7890 0.7890
Pr6 0.7890 0.2459 0.7890



[6]
# PBE TbPm12Pr3, relaxed
# Calculated volume = 34.5 Å³ per atom
# Formation energy = 0.21 eV per formula unit
# Raw total energy = -4.7354 eV per atom
# Total magnetic moment = 0.0 μB/f.u.
data_TbPm12Pr3
_chemical_formula_sum 'Tb1 Pm12 Pr3'
_cell_length_a 5.1693
_cell_length_b 5.1693
_cell_length_c 20.6667
_cell_angle_alpha 90.00
_cell_angle_beta 90.00
_cell_angle_gamma 90.00
_space_group_name_H-M_alt 'P 1'
_space_group_IT_number 1
_space_group_name_Hall 'P 1'
loop_
_atom_site_label
_atom_site_fract_x
_atom_site_fract_y
_atom_site_fract_z
Tb1 0.0000 0.0000 0.0000
Pm1 0.5000 0.5000 0.0000
Pm2 0.5000 0.5000 0.2485
Pm3 0.5000 0.5000 0.5000
Pm4 0.5000 0.5000 0.7515
Pm5 0.5000 0.0000 0.1233
Pm6 0.5000 0.0000 0.3745
Pm7 0.5000 0.0000 0.6255
Pm8 0.5000 0.0000 0.8767
Pm9 0.0000 0.5000 0.1233
Pm10 0.0000 0.5000 0.3745
Pm11 0.0000 0.5000 0.6255
Pm12 0.0000 0.5000 0.8767
Pr1 0.0000 0.0000 0.2489
Pr2 0.0000 0.0000 0.5000
Pr3 0.0000 0.0000 0.7511



[7]
# PBE Tb3Pm3Pr5, relaxed
# Calculated volume = 42.3 Å³ per atom
# Formation energy = 8.05 eV per formula unit
# Raw total energy = -3.9994 eV per atom
# Polymorph energy (0 for the lowest one) = 0.4312 eV per atom
# Total magnetic moment = 0.0 μB/f.u.
data_Tb3Pm3Pr5
_chemical_formula_sum 'Tb3 Pm3 Pr5'
_cell_length_a 5.5151
_cell_length_b 9.8650
_cell_length_c 9.8650
_cell_angle_alpha 120.00
_cell_angle_beta 90.00
_cell_angle_gamma 90.00
_space_group_name_H-M_alt 'P 1'
_space_group_IT_number 1
_space_group_name_Hall 'P 1'
loop_
_atom_site_label
_atom_site_fract_x
_atom_site_fract_y
_atom_site_fract_z
Tb1 0.5000 0.6338 0.6338
Tb2 0.5000 0.0000 0.3662
Tb3 0.5000 0.3662 0.0000
Pm1 0.0000 0.4243 0.4243
Pm2 0.0000 0.5757 0.0000
Pm3 0.0000 0.0000 0.5757
Pr1 0.5000 0.3333 0.6667
Pr2 0.5000 0.6667 0.3333
Pr3 0.5000 0.2652 0.2652
Pr4 0.5000 0.0000 0.7348
Pr5 0.5000 0.7348 0.0000



[8]
# PBE Tb4Pm3Pr2, relaxed
# Calculated volume = 50.8 Å³ per atom
# Formation energy = 1.47 eV per formula unit
# Raw total energy = -4.5397 eV per atom
# Polymorph energy (0 for the lowest one) = 0.1471 eV per atom
# Total magnetic moment = 0.5 μB/f.u.
data_Tb4Pm3Pr2
_chemical_formula_sum 'Tb4 Pm3 Pr2'
_cell_length_a 3.6421
_cell_length_b 3.6421
_cell_length_c 39.8084
_cell_angle_alpha 90.00
_cell_angle_beta 90.00
_cell_angle_gamma 120.00
_space_group_name_H-M_alt 'P 1'
_space_group_IT_number 1
_space_group_name_Hall 'P 1'
loop_
_atom_site_label
_atom_site_fract_x
_atom_site_fract_y
_atom_site_fract_z
Tb1 0.0000 0.0000 0.5781
Tb2 0.6667 0.3333 0.5077
Tb3 0.6667 0.3333 0.3625
Tb4 0.0000 0.0000 0.7242
Pm1 0.0000 0.0000 0.8757
Pm2 0.0000 0.0000 0.4330
Pm3 0.6667 0.3333 0.6511
Pr1 0.6667 0.3333 0.9480
Pr2 0.6667 0.3333 0.7969



[9]
# PBE Tb8Pm3Pr4, relaxed
# Calculated volume = 34.7 Å³ per atom
# Formation energy = 5.19 eV per formula unit
# Raw total energy = -4.3484 eV per atom
# Total magnetic moment = 0.0 μB/f.u.
data_Tb8Pm3Pr4
_chemical_formula_sum 'Tb8 Pm3 Pr4'
_cell_length_a 6.8529
_cell_length_b 9.3826
_cell_length_c 9.3826
_cell_angle_alpha 87.19
_cell_angle_beta 111.47
_cell_angle_gamma 111.47
_space_group_name_H-M_alt 'P 1'
_space_group_IT_number 1
_space_group_name_Hall 'P 1'
loop_
_atom_site_label
_atom_site_fract_x
_atom_site_fract_y
_atom_site_fract_z
Tb1 0.5263 0.2680 0.2680
Tb2 0.0000 0.6402 0.3598
Tb3 0.0050 0.2700 0.2700
Tb4 0.5000 0.7423 0.2577
Tb5 0.5000 0.2577 0.7423
Tb6 0.9950 0.7300 0.7300
Tb7 0.0000 0.3598 0.6402
Tb8 0.4737 0.7320 0.7320
Pm1 0.5000 0.5000 0.0000
Pm2 0.5000 0.0000 0.5000
Pm3 0.5000 0.5000 0.5000
Pr1 0.5000 0.0000 0.0000
Pr2 0.0000 0.5000 0.0000
Pr3 0.0000 0.0000 0.0000
Pr4 0.0000 0.0000 0.5000



[10]
# PBE TbPm3Pr7, relaxed
# Calculated volume = 36.6 Å³ per atom
# Formation energy = 2.46 eV per formula unit
# Raw total energy = -4.5347 eV per atom
# Polymorph energy (0 for the lowest one) = 0.0060 eV per atom
# Total magnetic moment = 0.0 μB/f.u.
data_TbPm3Pr7
_chemical_formula_sum 'Tb1 Pm3 Pr7'
_cell_length_a 6.5615
_cell_length_b 7.8892
_cell_length_c 7.8892
_cell_angle_alpha 82.12
_cell_angle_beta 86.02
_cell_angle_gamma 86.02
_space_group_name_H-M_alt 'P 1'
_space_group_IT_number 1
_space_group_name_Hall 'P 1'
loop_
_atom_site_label
_atom_site_fract_x
_atom_site_fract_y
_atom_site_fract_z
Tb1 0.5000 0.5000 0.5000
Pm1 0.0000 0.8296 0.1704
Pm2 0.5000 0.0000 0.0000
Pm3 0.0000 0.1704 0.8296
Pr1 0.7850 0.2386 0.2386
Pr2 0.7385 0.9203 0.5733
Pr3 0.2615 0.4267 0.0797
Pr4 0.7385 0.5733 0.9203
Pr5 0.0000 0.5000 0.5000
Pr6 0.2615 0.0797 0.4267
Pr7 0.2150 0.7614 0.7614